(A)
Compound: K2CaAg
Source: the Alexandria database
Functional: PBE-GGA
Structure: optimized geometry

Values from the calculation:
calculated density = 1.94 Mg/m³
spin magnetization = 0.00 μB per cell

```
K2CaAg
1.0
-5.5331 5.5331 3.1589
5.5331 -5.5331 3.1589
5.5331 5.5331 -3.1589
K Ca Ag
4 2 2
Direct
0.0279 0.6250 0.9029
0.3750 0.2779 0.4029
0.7221 0.1250 0.0971
0.8750 0.9721 0.5971
0.2500 0.7500 0.5000
0.5000 0.5000 0.0000
0.0000 0.0000 0.0000
0.7500 0.2500 0.5000
```

(B)
Compound: K2CaAg
Source: the Alexandria database
Functional: PBE-GGA
Structure: optimized geometry

Values from the calculation:
calculated density = 2.13 Mg/m³
spin magnetization = 0.00 μB per cell

```
K2CaAg
1.0
4.0154 0.0000 0.0000
0.0000 4.0132 0.0000
-0.0414 0.0000 10.9633
K Ca Ag
2 1 1
Direct
0.0000 0.0000 0.0000
0.4969 0.5000 0.6464
0.4968 0.5000 0.3004
0.9975 0.0000 0.4275
```

The least stable of them is (A).

(A)
Compound: TlMoRh2
Source: the Alexandria database
Functional: PBE-GGA
Structure: optimized geometry

Values from the calculation:
calculated density = 12.74 Mg/m³
spin magnetization = 0.00 μB per cell

```
TlMoRh2
1.0
4.7331 -1.4605 0.0000
4.7331 1.4605 0.0000
-0.8893 0.0000 4.7708
Tl Mo Rh
1 1 2
Direct
0.0000 0.0000 0.0000
0.7611 0.7611 0.3222
0.2470 0.2470 0.7837
0.4985 0.4985 0.4940
```

(B)
Compound: TlMoRh2
Source: the Alexandria database
Functional: PBE-GGA
Structure: optimized geometry

Values from the calculation:
calculated density = 12.76 Mg/m³
spin magnetization = 0.00 μB per cell

```
TlMoRh2
1.0
2.9011 0.0000 0.0000
0.0000 4.6669 0.0000
-0.2624 0.0000 4.8635
Tl Mo Rh
1 1 2
Direct
0.0000 0.0000 0.0000
0.9426 0.5000 0.3677
0.4599 0.0000 0.5067
0.5071 0.5000 0.8427
```

The least stable of them is (B).

(A)
Compound: B5C7
Source: the Alexandria database
Functional: PBE-GGA
Structure: optimized geometry

Values from the calculation:
calculated density = 2.90 Mg/m³
spin magnetization = 0.00 μB per cell

```
B5C7
1.0
6.0550 -1.3118 0.0000
6.0550 1.3118 0.0000
-1.2790 0.0000 4.9756
B C
5 7
Direct
0.0000 0.0000 0.0000
0.0166 0.0166 0.4152
0.5778 0.5778 0.9419
0.6747 0.6747 0.3194
0.8995 0.8995 0.6907
0.2501 0.2501 0.8354
0.2529 0.2529 0.3322
0.3261 0.3261 0.6241
0.3286 0.3286 0.1304
0.5883 0.5883 0.5068
0.6746 0.6746 0.7913
0.9033 0.9033 0.1750
```

(B)
Compound: B5C7
Source: the Alexandria database
Functional: PBE-GGA
Structure: optimized geometry

Values from the calculation:
calculated density = 2.95 Mg/m³
spin magnetization = 0.00 μB per cell

```
B5C7
1.0
7.1930 -1.2633 0.0000
7.1930 1.2633 0.0000
-1.3747 0.0000 4.2797
B C
5 7
Direct
0.0000 0.0000 0.0000
0.0749 0.0749 0.7397
0.3443 0.3443 0.6525
0.5007 0.5007 0.4781
0.5766 0.5766 0.2163
0.1919 0.1919 0.8447
0.2259 0.2259 0.5439
0.3853 0.3853 0.3616
0.6917 0.6917 0.3414
0.7309 0.7309 0.0479
0.8458 0.8458 0.1623
0.8872 0.8872 0.8923
```

The least stable of them is (A).

(A)
Compound: KCa2Y
Source: the Alexandria database
Functional: PBE-GGA
Structure: optimized geometry

Values from the calculation:
calculated density = 2.04 Mg/m³
spin magnetization = 1.79 μB per cell

```
KCa2Y
1.0
-4.7741 4.7741 3.7249
4.7741 -4.7741 3.7249
4.7741 4.7741 -3.7249
K Ca Y
2 4 2
Direct
0.0000 0.0000 0.0000
0.7500 0.2500 0.5000
0.1196 0.6250 0.9946
0.3750 0.3696 0.4946
0.6304 0.1250 0.0054
0.8750 0.8804 0.5054
0.2500 0.7500 0.5000
0.5000 0.5000 0.0000
```

(B)
Compound: KCa2Y
Source: the Alexandria database
Functional: PBE-GGA
Structure: optimized geometry

Values from the calculation:
calculated density = 2.05 Mg/m³
spin magnetization = 0.00 μB per cell

```
KCa2Y
1.0
4.0092 0.0000 0.0000
0.0000 6.3790 0.0000
0.0000 0.0000 6.5830
K Ca Y
1 2 1
Direct
0.0000 0.0000 0.0000
0.0000 0.5000 0.5000
0.5000 0.5000 0.0000
0.5000 0.0000 0.5000
```

The least stable of them is (A).

(A)
Compound: Al2SiNi
Source: the Alexandria database
Functional: PBE-GGA
Structure: optimized geometry

Values from the calculation:
calculated density = 3.78 Mg/m³
spin magnetization = 0.00 μB per cell

```
Al2SiNi
1.0
3.9749 0.0000 0.0000
-1.9874 3.4423 0.0000
0.0000 0.0000 4.5148
Al Si Ni
2 1 1
Direct
0.3333 0.6667 0.1979
0.6667 0.3333 0.8021
0.0000 0.0000 0.5000
0.0000 0.0000 0.0000
```

(B)
Compound: Al2SiNi
Source: the Alexandria database
Functional: PBE-GGA
Structure: optimized geometry

Values from the calculation:
calculated density = 3.98 Mg/m³
spin magnetization = 0.00 μB per cell

```
Al2SiNi
1.0
-1.3111 2.0674 5.4205
1.3111 -2.0674 5.4205
1.3111 2.0674 -5.4205
Al Si Ni
2 1 1
Direct
0.0000 0.0000 0.0000
0.7027 0.2027 0.5000
0.3889 0.3889 0.0000
0.2009 0.7009 0.5000
```

The least stable of them is (B).

(A)
Compound: Tm6Tl5Sn
Source: the Alexandria database
Functional: PBE-GGA
Structure: optimized geometry

Values from the calculation:
calculated density = 10.62 Mg/m³
spin magnetization = 0.00 μB per cell

```
Tm6Tl5Sn
1.0
3.2076 -5.4781 0.0000
3.2076 5.4781 0.0000
-2.0124 0.0000 9.5865
Tm Tl Sn
6 5 1
Direct
0.0835 0.4147 0.7500
0.2458 0.2458 0.2495
0.4147 0.0835 0.7500
0.5853 0.9165 0.2500
0.7542 0.7542 0.7505
0.9165 0.5853 0.2500
0.1680 0.8320 0.0000
0.3335 0.6665 0.5000
0.5000 0.5000 0.0000
0.6665 0.3335 0.5000
0.8320 0.1680 0.0000
0.0000 0.0000 0.5000
```

(B)
Compound: Tm6Tl5Sn
Source: the Alexandria database
Functional: PBE-GGA
Structure: optimized geometry

Values from the calculation:
calculated density = 11.28 Mg/m³
spin magnetization = 0.00 μB per cell

```
Tm6Tl5Sn
1.0
-2.6663 3.7103 8.0148
2.6663 -3.7103 8.0148
2.6663 3.7103 -8.0148
Tm Tl Sn
6 5 1
Direct
0.0821 0.3354 0.7467
0.2445 0.0000 0.2445
0.4112 0.6646 0.7467
0.5888 0.3354 0.2533
0.7555 0.0000 0.7555
0.9179 0.6646 0.2533
0.1724 0.1724 0.0000
0.3348 0.8348 0.5000
0.5000 0.5000 0.0000
0.6652 0.1652 0.5000
0.8276 0.8276 0.0000
0.0000 0.5000 0.5000
```

The least stable of them is (A).